DFT (GGA-PBE) results for a relaxed structure of Sm6Ge2PbS3.

Cell: 9.379 9.379 8.446 Å, 103.31 103.31 25.64°
Element x y z (fractional)
Sm  0.001  0.001  0.230
Sm  0.326  0.326  0.411
Sm  0.332  0.332  0.918
Sm  0.668  0.668  0.082
Sm  0.674  0.674  0.589
Sm  0.999  0.999  0.770
Ge  0.166  0.166  0.833
Ge  0.834  0.834  0.167
Pb  0.500  0.500  0.500
S  0.167  0.167  0.331
S  0.500  0.500  0.000
S  0.833  0.833  0.669

Output
SG: C2/m
Uncorrected formation energy in eV per atom: -1.364

DFT (GGA-PBE) results for a relaxed structure of NaTe2IrO8.

Cell: 4.764 6.474 4.777 Å, 90.00 92.72 90.00°
Element x y z (fractional)
Na  0.000  0.000  0.000
Te  0.500  0.247  0.500
Te  0.500  0.753  0.500
Ir  0.000  0.500  0.000
O  0.208  0.269  0.201
O  0.208  0.731  0.201
O  0.294  0.500  0.698
O  0.319  0.000  0.675
O  0.681  0.000  0.325
O  0.706  0.500  0.302
O  0.792  0.269  0.799
O  0.792  0.731  0.799

Output
SG: P2/m
Uncorrected formation energy in eV per atom: -0.895

DFT (GGA-PBE) results for a relaxed structure of Pm2Pr3Cd2.

Cell: 16.448 16.448 3.699 Å, 90.00 90.00 166.94°
Element x y z (fractional)
Pm  0.204  0.796  0.000
Pm  0.796  0.204  0.000
Pr  0.080  0.920  0.000
Pr  0.500  0.500  0.500
Pr  0.920  0.080  0.000
Cd  0.357  0.643  0.500
Cd  0.643  0.357  0.500

Output
SG: Cmmm
Offset from the most stable computed form in eV/atom: 0.053
Formation energy from the elements in eV/f.u.: -0.69